(1)
# SrBeInGa | Alexandria | GGA-PBE | relaxed
# - magnetic moment (μB/f.u.) = 0.000
# - energy relative to the elements (eV per atom) = -0.152
# - ΔE to the lowest computed polymorph (meV per atom) = 0.0
data_SrBeInGa
_cell_length_a 4.1576
_cell_length_b 4.1576
_cell_length_c 19.0343
_cell_angle_alpha 90.00
_cell_angle_beta 90.00
_cell_angle_gamma 120.00
_symmetry_space_group_name_H-M 'R 3 m'
_symmetry_Int_Tables_number 160
_symmetry_space_group_name_Hall 'R 3 -2"'
loop_
_atom_site_label
_atom_site_type_symbol
_atom_site_fract_x
_atom_site_fract_y
_atom_site_fract_z
_atom_site_occupancy
Sr1 Sr 0.0000 0.0000 0.0000 1
Be1 Be 0.0000 0.0000 0.4625 1
In1 In 0.0000 0.0000 0.2036 1
Ga1 Ga 0.0000 0.0000 0.7813 1


(2)
# SrBeInGa | Alexandria | GGA-PBE | relaxed
# - magnetic moment (μB/f.u.) = 0.000
# - energy relative to the elements (eV per atom) = 0.067
# - ΔE to the lowest computed polymorph (meV per atom) = 219.1
data_SrBeInGa
_cell_length_a 3.715
_cell_length_b 5.090
_cell_length_c 5.359
_cell_angle_alpha 101.94
_cell_angle_beta 90.13
_cell_angle_gamma 90.04
_symmetry_space_group_name_H-M 'P 1'
_symmetry_Int_Tables_number 1
loop_
_symmetry_equiv_pos_as_xyz
'x,y,z'
loop_
_atom_site_label
_atom_site_type_symbol
_atom_site_fract_x
_atom_site_fract_y
_atom_site_fract_z
_atom_site_occupancy
Sr1 Sr 0.000 0.000 0.000 1
Be1 Be 0.503 0.125 0.521 1
In1 In 0.501 0.617 0.388 1
Ga1 Ga 0.498 0.460 0.859 1


(3)
# SrBeInGa | Alexandria | GGA-PBE | relaxed
# - magnetic moment (μB/f.u.) = 0.000
# - energy relative to the elements (eV per atom) = 0.111
# - ΔE to the lowest computed polymorph (meV per atom) = 262.7
data_SrBeInGa
_cell_length_a 3.633
_cell_length_b 3.633
_cell_length_c 7.090
_cell_angle_alpha 90.00
_cell_angle_beta 90.00
_cell_angle_gamma 90.00
_symmetry_space_group_name_H-M 'P 4 m m'
_symmetry_Int_Tables_number 99
loop_
_symmetry_equiv_pos_as_xyz
'x,y,z'
'-y,x,z'
'-x,-y,z'
'y,-x,z'
'-x,y,z'
'y,x,z'
'x,-y,z'
'-y,-x,z'
loop_
_atom_site_label
_atom_site_type_symbol
_atom_site_fract_x
_atom_site_fract_y
_atom_site_fract_z
_atom_site_occupancy
Sr1 Sr 0.000 0.000 0.000 1
Be1 Be 0.500 0.500 0.333 1
In1 In 0.000 0.000 0.468 1
Ga1 Ga 0.500 0.500 0.691 1


(4)
# SrBeInGa | Alexandria | GGA-PBE | relaxed
# - magnetic moment (μB/f.u.) = 0.000
# - energy relative to the elements (eV per atom) = -0.082
# - ΔE to the lowest computed polymorph (meV per atom) = 70.3
data_SrBeInGa
_cell_length_a 7.479
_cell_length_b 4.355
_cell_length_c 6.406
_cell_angle_alpha 90.00
_cell_angle_beta 113.04
_cell_angle_gamma 90.00
_symmetry_space_group_name_H-M 'C 1 m 1'
_symmetry_Int_Tables_number 8
loop_
_symmetry_equiv_pos_as_xyz
'x,y,z'
'x,-y,z'
'x+1/2,y+1/2,z'
'x+1/2,-y+1/2,z'
loop_
_atom_site_label
_atom_site_type_symbol
_atom_site_fract_x
_atom_site_fract_y
_atom_site_fract_z
_atom_site_occupancy
Sr1 Sr 0.000 0.000 0.000 1
Be1 Be 0.182 0.000 0.556 1
In1 In 0.031 0.500 0.598 1
Ga1 Ga 0.283 0.500 0.353 1


(5)
# SrBeInGa | Alexandria | GGA-PBE | relaxed
# - magnetic moment (μB/f.u.) = 0.000
# - energy relative to the elements (eV per atom) = -0.151
# - ΔE to the lowest computed polymorph (meV per atom) = 0.8
data_SrBeInGa
_cell_length_a 6.300
_cell_length_b 9.609
_cell_length_c 4.333
_cell_angle_alpha 90.00
_cell_angle_beta 133.32
_cell_angle_gamma 90.00
_symmetry_space_group_name_H-M 'C 1 2 1'
_symmetry_Int_Tables_number 5
loop_
_symmetry_equiv_pos_as_xyz
'x,y,z'
'-x,y,-z'
'x+1/2,y+1/2,z'
'-x+1/2,y+1/2,-z'
loop_
_atom_site_label
_atom_site_type_symbol
_atom_site_fract_x
_atom_site_fract_y
_atom_site_fract_z
_atom_site_occupancy
Sr1 Sr 0.000 0.000 0.000 1
Be1 Be 0.000 0.741 0.500 1
In1 In 0.000 0.350 0.000 1
Ga1 Ga 0.000 0.653 0.000 1


(6)
# BeGaIr | Alexandria | GGA-PBE | relaxed
# - magnetic moment (μB/f.u.) = 0.000
# - energy relative to the elements (eV per atom) = -0.412
# - ΔE to the lowest computed polymorph (meV per atom) = 0.0
data_BeGaIr
_cell_length_a 2.994
_cell_length_b 2.994
_cell_length_c 8.346
_cell_angle_alpha 90.00
_cell_angle_beta 90.00
_cell_angle_gamma 90.00
_symmetry_space_group_name_H-M 'I 4 m m'
_symmetry_Int_Tables_number 107
_symmetry_space_group_name_Hall 'I 4 -2'
loop_
_atom_site_label
_atom_site_type_symbol
_atom_site_fract_x
_atom_site_fract_y
_atom_site_fract_z
_atom_site_occupancy
Be1 Be 0.000 0.000 0.000 1
Ga1 Ga 0.000 0.000 0.327 1
Ir1 Ir 0.000 0.000 0.636 1


(7)
# Be2GaIr | Alexandria | GGA-PBE | relaxed
# - magnetic moment (μB/f.u.) = 0.000
# - energy relative to the elements (eV per atom) = -0.271
data_Be2GaIr
_cell_length_a 3.895
_cell_length_b 3.895
_cell_length_c 2.985
_cell_angle_alpha 90.00
_cell_angle_beta 90.00
_cell_angle_gamma 90.00
_symmetry_space_group_name_H-M 'P 4/m m m'
_symmetry_Int_Tables_number 123
_symmetry_space_group_name_Hall '-P 4 2'
loop_
_atom_site_label
_atom_site_type_symbol
_atom_site_fract_x
_atom_site_fract_y
_atom_site_fract_z
_atom_site_occupancy
Be1 Be 0.000 0.500 0.000 1
Ga1 Ga 0.000 0.000 0.500 1
Ir1 Ir 0.500 0.500 0.500 1


(8)
# Be6GaIr5 | Alexandria | GGA-PBE | relaxed
# - magnetic moment (μB/f.u.) = 0.000
# - energy relative to the elements (eV per atom) = -0.584
data_Be6GaIr5
_cell_length_a 3.974
_cell_length_b 5.745
_cell_length_c 11.679
_cell_angle_alpha 90.00
_cell_angle_beta 90.00
_cell_angle_gamma 90.00
_symmetry_space_group_name_H-M 'I m m m'
_symmetry_Int_Tables_number 71
_symmetry_space_group_name_Hall '-I 2 2'
loop_
_atom_site_label
_atom_site_type_symbol
_atom_site_fract_x
_atom_site_fract_y
_atom_site_fract_z
_atom_site_occupancy
Be1 Be 0.000 0.211 0.000 1
Be2 Be 0.000 0.271 0.322 1
Ga1 Ga 0.000 0.000 0.500 1
Ir1 Ir 0.000 0.000 0.171 1
Ir2 Ir 0.000 0.500 0.148 1
Ir3 Ir 0.000 0.500 0.500 1


(9)
# Be2GaIr | Alexandria | GGA-PBE | relaxed
# - magnetic moment (μB/f.u.) = 0.000
# - energy relative to the elements (eV per atom) = -0.324
data_Be2GaIr
_cell_length_a 2.979
_cell_length_b 2.979
_cell_length_c 5.217
_cell_angle_alpha 90.00
_cell_angle_beta 90.00
_cell_angle_gamma 90.00
_symmetry_space_group_name_H-M 'P 4/m m m'
_symmetry_Int_Tables_number 123
_symmetry_space_group_name_Hall '-P 4 2'
loop_
_atom_site_label
_atom_site_type_symbol
_atom_site_fract_x
_atom_site_fract_y
_atom_site_fract_z
_atom_site_occupancy
Be1 Be 0.000 0.000 0.225 1
Ga1 Ga 0.500 0.500 0.500 1
Ir1 Ir 0.500 0.500 0.000 1


(10)
# BeGa3Ir4 | Alexandria | GGA-PBE | relaxed
# - magnetic moment (μB/f.u.) = 0.000
# - energy relative to the elements (eV per atom) = -0.457
data_BeGa3Ir4
_cell_length_a 2.994
_cell_length_b 2.994
_cell_length_c 12.011
_cell_angle_alpha 90.00
_cell_angle_beta 90.00
_cell_angle_gamma 90.00
_symmetry_space_group_name_H-M 'P 4/m m m'
_symmetry_Int_Tables_number 123
_symmetry_space_group_name_Hall '-P 4 2'
loop_
_atom_site_label
_atom_site_type_symbol
_atom_site_fract_x
_atom_site_fract_y
_atom_site_fract_z
_atom_site_occupancy
Be1 Be 0.000 0.000 0.000 1
Ga1 Ga 0.000 0.000 0.237 1
Ga2 Ga 0.000 0.000 0.500 1
Ir1 Ir 0.500 0.500 0.114 1
Ir2 Ir 0.500 0.500 0.371 1


(11)
# Be3GaIr | Alexandria | GGA-PBE | relaxed
# - magnetic moment (μB/f.u.) = 0.000
# - energy relative to the elements (eV per atom) = 0.998
# - ΔE to the lowest computed polymorph (meV per atom) = 689.2
data_Be3GaIr
_cell_length_a 4.027
_cell_length_b 4.027
_cell_length_c 4.027
_cell_angle_alpha 90.00
_cell_angle_beta 90.00
_cell_angle_gamma 90.00
_symmetry_space_group_name_H-M 'P m -3 m'
_symmetry_Int_Tables_number 221
_symmetry_space_group_name_Hall '-P 4 2 3'
loop_
_atom_site_label
_atom_site_type_symbol
_atom_site_fract_x
_atom_site_fract_y
_atom_site_fract_z
_atom_site_occupancy
Be1 Be 0.000 0.000 0.500 1
Ga1 Ga 0.000 0.000 0.000 1
Ir1 Ir 0.500 0.500 0.500 1


(12)
# BeGa2Ir2 | Alexandria | GGA-PBE | relaxed
# - magnetic moment (μB/f.u.) = 0.000
# - energy relative to the elements (eV per atom) = -0.082
# - ΔE to the lowest computed polymorph (meV per atom) = 109.9
data_BeGa2Ir2
_cell_length_a 7.127
_cell_length_b 7.127
_cell_length_c 2.878
_cell_angle_alpha 90.00
_cell_angle_beta 90.00
_cell_angle_gamma 90.00
_symmetry_space_group_name_H-M 'P 4/m b m'
_symmetry_Int_Tables_number 127
_symmetry_space_group_name_Hall '-P 4 2ab'
loop_
_atom_site_label
_atom_site_type_symbol
_atom_site_fract_x
_atom_site_fract_y
_atom_site_fract_z
_atom_site_occupancy
Be1 Be 0.000 0.000 0.000 1
Ga1 Ga 0.138 0.362 0.000 1
Ir1 Ir 0.162 0.662 0.500 1


(13)
# BeGaIr3 | Alexandria | GGA-PBE | relaxed
# - magnetic moment (μB/f.u.) = 0.000
# - energy relative to the elements (eV per atom) = 0.190
data_BeGaIr3
_cell_length_a 4.136
_cell_length_b 4.136
_cell_length_c 4.136
_cell_angle_alpha 90.00
_cell_angle_beta 90.00
_cell_angle_gamma 90.00
_symmetry_space_group_name_H-M 'P m -3 m'
_symmetry_Int_Tables_number 221
_symmetry_space_group_name_Hall '-P 4 2 3'
loop_
_atom_site_label
_atom_site_type_symbol
_atom_site_fract_x
_atom_site_fract_y
_atom_site_fract_z
_atom_site_occupancy
Be1 Be 0.000 0.000 0.000 1
Ga1 Ga 0.500 0.500 0.500 1
Ir1 Ir 0.000 0.000 0.500 1